The following is a PBE-GGA calculation of a relaxed Tc2PtBr crystal, from the Alexandria database.

```
Tc2PtBr
1.0
-2.0584 2.0584 3.7836
2.0584 -2.0584 3.7836
2.0584 2.0584 -3.7836
Tc Pt Br
2 1 1
direct
0.0000 0.0000 0.0000
0.7500 0.2500 0.5000
0.5000 0.5000 0.0000
0.2500 0.7500 0.5000
```

energy relative to the elements, uncorrected = 0.87 eV/atom